SmPuVN4: relaxed, PBE.

Calculated values
* crystal system: orthorhombic
* uncorrected formation energy: -1.098 eV/atom
* N(E_F): 0.955 states/eV per atom
* magnetic moment: 3.94 μB per formula unit

abc: 5.3400 12.4750 5.3268
angles: 90.00 90.00 90.00
With the nearest neighbours (Å) after each atom.
Space group Cmcm (No. 63)
Symmetry-distinct sites (fractional):
Sm (0.0000, 0.1100, 0.2500)  5 N 2.40-2.57
Pu (0.0000, 0.3942, 0.2500)  1 N 2.09
V (0.0000, 0.2273, 0.7500)  5 N 1.81-1.91
N (0.0000, 0.0821, 0.7500)  1 V 1.81
N (0.0000, 0.4384, 0.7500)  1 Pu 2.09
N (0.2500, 0.2500, 0.0000)  2 V 1.91